[1]
The following is a meta-GGA SCAN calculation of a crystal of Cd2Ir relaxed with PBEsol, from the Alexandria database.

abc: 5.3019 5.3019 5.3019
angles: 60.00 60.00 60.00
Sites, in units of the cell vectors:
Cd  0.0000  0.0000  0.0000
Cd  0.0000  0.0000  0.5000
Cd  0.0000  0.5000  0.0000
Cd  0.5000  0.0000  0.0000
Ir  0.3750  0.3750  0.3750
Ir  0.6250  0.6250  0.6250

**Symmetry**: Fd-3m
**ΔE_f**: 0.710 eV per atom

[2]
The following is a meta-GGA SCAN calculation of a crystal of Cd2Ir3 relaxed with PBEsol, from the Alexandria database.

abc: 2.8123 2.8123 34.3246
angles: 90.00 90.00 120.00
Sites, in units of the cell vectors:
Cd  0.0000  0.0000  0.0989
Cd  0.0000  0.0000  0.9011
Cd  0.3333  0.6667  0.5678
Cd  0.3333  0.6667  0.7656
Cd  0.6667  0.3333  0.2344
Cd  0.6667  0.3333  0.4322
Ir  0.0000  0.0000  0.3030
Ir  0.0000  0.0000  0.5000
Ir  0.0000  0.0000  0.6970
Ir  0.3333  0.6667  0.1667
Ir  0.3333  0.6667  0.3636
Ir  0.3333  0.6667  0.9697
Ir  0.6667  0.3333  0.0303
Ir  0.6667  0.3333  0.6364
Ir  0.6667  0.3333  0.8333

**Symmetry**: R-3m
**ΔE_f**: 0.198 eV per atom

[3]
The following is a meta-GGA SCAN calculation of a crystal of Cd3Ir relaxed with PBEsol, from the Alexandria database.

abc: 2.9239 2.9239 29.4758
angles: 90.00 90.00 120.00
Sites, in units of the cell vectors:
Cd  0.0000  0.0000  0.0000
Cd  0.0000  0.0000  0.2426
Cd  0.0000  0.0000  0.7574
Cd  0.3333  0.6667  0.4241
Cd  0.3333  0.6667  0.6667
Cd  0.3333  0.6667  0.9093
Cd  0.6667  0.3333  0.0907
Cd  0.6667  0.3333  0.3333
Cd  0.6667  0.3333  0.5759
Ir  0.0000  0.0000  0.5000
Ir  0.3333  0.6667  0.1667
Ir  0.6667  0.3333  0.8333

**Symmetry**: R-3m
**ΔE_f**: 0.179 eV per atom